NpMn2CrO6 | PBE with a Hubbard U | optimized geometry

```
NpMn2CrO6
1.0
5.415 -0.018 0.024
2.692 4.611 0.049
2.725 1.569 4.869
Np Mn Cr O
1 2 1 6
direct
0.319 0.321 0.040
0.532 0.525 0.413
0.020 0.012 0.940
0.819 0.819 0.543
0.620 0.196 0.256
0.194 0.930 0.279
0.931 0.616 0.264
0.433 0.723 0.759
0.705 0.091 0.759
0.089 0.430 0.762
```

Output
As for the space group: P1, No. 1. The calculation puts the total magnetization at 2.99 μB per formula unit. The calculation puts the final energy at -8.48 eV per atom.